PBE Na2NpB2O6, relaxed; raw formation energy = -2.40 eV per atom; magnetization = 0.27 μB/atom; total DFT energy (no corrections) = -7.739 eV per atom
1.0
5.324 0.000 0.000
-2.662 4.611 0.000
0.000 0.000 6.166
O B Np Na
6 2 1 2
direct
0.281 0.384 0.787 O
0.719 0.616 0.213 O
0.103 0.719 0.787 O
0.384 0.103 0.213 O
0.616 0.897 0.787 O
0.897 0.281 0.213 O
0.667 0.333 0.206 B
0.333 0.667 0.794 B
0.000 0.000 0.000 Np
0.667 0.333 0.659 Na
0.333 0.667 0.341 Na